[1]
## NaPO3 (GGA-PBEsol)

Data for an optimized crystal structure of NaPO3.

Results
Crystal system: monoclinic
D(E_F) in states/eV/cell: 0.00
E_tot in eV/atom: -6.813
Formation energy without anion corrections in eV/atom: -2.225
Space group: P2_1/c, No. 14

Cell: 6.982 6.183 13.803 Å, 90.00 118.49 90.00°
Fractional coordinates of all 40 atoms:
Na1 0.001 0.128 0.130
Na2 0.001 0.372 0.630
Na3 0.256 0.120 0.494
Na4 0.256 0.380 0.994
Na5 0.744 0.620 0.006
Na6 0.744 0.880 0.506
Na7 0.999 0.628 0.370
Na8 0.999 0.872 0.870
P1 0.222 0.635 0.215
P2 0.222 0.865 0.715
P3 0.427 0.627 0.609
P4 0.427 0.873 0.109
P5 0.573 0.127 0.891
P6 0.573 0.373 0.391
P7 0.778 0.135 0.285
P8 0.778 0.365 0.785
O1 0.074 0.708 0.728
O2 0.074 0.792 0.228
O3 0.125 0.019 0.619
O4 0.125 0.481 0.119
O5 0.237 0.025 0.055
O6 0.237 0.475 0.555
O7 0.348 0.506 0.330
O8 0.348 0.994 0.830
O9 0.427 0.738 0.716
O10 0.427 0.762 0.216
O11 0.454 0.705 0.039
O12 0.454 0.795 0.539
O13 0.546 0.205 0.461
O14 0.546 0.295 0.961
O15 0.573 0.238 0.784
O16 0.573 0.262 0.284
O17 0.652 0.006 0.170
O18 0.652 0.494 0.670
O19 0.763 0.525 0.445
O20 0.763 0.975 0.945
O21 0.875 0.519 0.881
O22 0.875 0.981 0.381
O23 0.926 0.208 0.772
O24 0.926 0.292 0.272

=====

[2]
## ZnCuSe2O6 (GGA-PBEsol)

Data for an optimized crystal structure of ZnCuSe2O6.

Results
Crystal system: monoclinic
E_tot in eV/atom: -5.350
Formation energy without anion corrections in eV/atom: -0.839
Space group: P2_1/c, No. 14

Cell: 5.222 5.893 8.915 Å, 90.00 123.95 90.00°
Fractional coordinates of all 20 atoms:
Zn1 0.000 0.000 0.000
Zn2 0.000 0.500 0.500
Cu1 0.500 0.000 0.500
Cu2 0.500 0.500 0.000
Se1 0.240 0.028 0.745
Se2 0.240 0.472 0.245
Se3 0.760 0.528 0.755
Se4 0.760 0.972 0.255
O1 0.042 0.697 0.929
O2 0.042 0.803 0.429
O3 0.312 0.194 0.927
O4 0.312 0.306 0.427
O5 0.431 0.573 0.760
O6 0.431 0.927 0.260
O7 0.569 0.073 0.740
O8 0.569 0.427 0.240
O9 0.688 0.694 0.573
O10 0.688 0.806 0.073
O11 0.958 0.197 0.571
O12 0.958 0.303 0.071

=====

[3]
## CdCuPt2 (GGA-PBEsol)

Data for an optimized crystal structure of CdCuPt2.

Results
Crystal system: monoclinic
D(E_F) in states/eV/cell: 1.70
E_tot in eV/atom: -4.993
ΔH_f (0 K) in meV/atom: -129
Space group: Cm, No. 8

Cell: 4.774 4.774 4.810 Å, 99.92 99.92 34.10°
Fractional coordinates of all 4 atoms:
Cd1 0.000 0.000 0.000
Cu1 0.245 0.245 0.733
Pt1 0.502 0.502 0.511
Pt2 0.755 0.755 0.252

=====

[4]
## ZnSb2CI (GGA-PBEsol)

Data for an optimized crystal structure of ZnSb2CI.

Results
Crystal system: tetragonal
D(E_F) in states/eV/cell: 4.55
E_tot in eV/atom: -3.313
Formation energy without anion corrections in eV/atom: 1.108
Space group: P4/mmm, No. 123

Cell: 4.707 4.707 5.091 Å, 90.00 90.00 90.00°
Fractional coordinates of all 5 atoms:
Zn1 0.000 0.000 0.000
Sb1 0.000 0.500 0.500
Sb2 0.500 0.000 0.500
C1 0.500 0.500 0.500
I1 0.500 0.500 0.000

=====

[5]
## CaY2Mo (GGA-PBEsol)

Data for an optimized crystal structure of CaY2Mo.

Results
Crystal system: orthorhombic
Energy above the lowest structure with this stoichiometry in meV/atom: 138
D(E_F) in states/eV/cell: 5.22
E_tot in eV/atom: -6.278
ΔH_f (0 K) in meV/atom: 608
Space group: Cmmm, No. 65

Cell: 5.577 5.577 3.337 Å, 90.00 90.00 105.71°
Fractional coordinates of all 4 atoms:
Ca1 0.000 0.000 0.000
Y1 0.000 0.500 0.500
Y2 0.500 0.000 0.500
Mo1 0.500 0.500 0.000

=====

[6]
## Ca2LaBeO5 (GGA-PBEsol)

Data for an optimized crystal structure of Ca2LaBeO5.

Results
Crystal system: orthorhombic
D(E_F) in states/eV/cell: 21.50
E_tot in eV/atom: -7.266
Formation energy without anion corrections in eV/atom: -2.837
Space group: Pnma, No. 62

Cell: 9.284 7.247 6.436 Å, 90.00 90.00 90.00°
Fractional coordinates of all 36 atoms:
Ca1 0.172 0.029 0.082
Ca2 0.172 0.471 0.082
Ca3 0.328 0.529 0.582
Ca4 0.328 0.971 0.582
Ca5 0.672 0.029 0.418
Ca6 0.672 0.471 0.418
Ca7 0.828 0.529 0.918
Ca8 0.828 0.971 0.918
La1 0.027 0.250 0.600
La2 0.473 0.750 0.100
La3 0.527 0.250 0.900
La4 0.973 0.750 0.400
Be1 0.106 0.750 0.811
Be2 0.394 0.250 0.311
Be3 0.606 0.750 0.689
Be4 0.894 0.250 0.189
O1 0.013 0.750 0.025
O2 0.072 0.561 0.690
O3 0.072 0.939 0.690
O4 0.222 0.250 0.359
O5 0.232 0.750 0.330
O6 0.268 0.250 0.830
O7 0.278 0.750 0.859
O8 0.428 0.061 0.190
O9 0.428 0.439 0.190
O10 0.487 0.250 0.525
O11 0.513 0.750 0.475
O12 0.572 0.561 0.810
O13 0.572 0.939 0.810
O14 0.722 0.250 0.141
O15 0.732 0.750 0.170
O16 0.768 0.250 0.670
O17 0.778 0.750 0.641
O18 0.928 0.061 0.310
O19 0.928 0.439 0.310
O20 0.987 0.250 0.975

=====

Respective M_tot values: 0.0; 2.1; 0.0; 0.0; 0.0; 3.7 μB per cell.